Here is PrTmMn after structural relaxation from Alexandria via LeMat-Bulk. Energies are from PBE.

Cell lengths 6.8826, 6.8826, 6.8826 Å; angles 150.19, 150.19, 42.67 degrees
Fractional positions:
1 Pr 0.0000 0.0000 0.0000
2 Tm 0.2763 0.2763 0.0000
3 Mn 0.6485 0.6485 0.0000

**Space-group type**: I4mm
**Total magnetic moment**: 2.94 μB per formula unit
**Final energy**: -5.945 eV/atom
**ΔE_f**: 0.20 eV/atom

Here is PrTmMn17 after structural relaxation from Alexandria via LeMat-Bulk. Energies are from PBE.

Cell lengths 6.3486, 6.3486, 6.3486 Å; angles 86.33, 86.33, 86.33 degrees
Fractional positions:
1 Pr 0.0000 0.0000 0.0000
2 Tm 0.7098 0.7098 0.7098
3 Mn 0.0014 0.0014 0.4808
4 Mn 0.0014 0.4808 0.0014
5 Mn 0.0838 0.3591 0.6316
6 Mn 0.0838 0.6316 0.3591
7 Mn 0.2354 0.7105 0.7105
8 Mn 0.2586 0.2586 0.2586
9 Mn 0.3591 0.0838 0.6316
10 Mn 0.3591 0.6316 0.0838
11 Mn 0.3595 0.3595 0.8569
12 Mn 0.3595 0.8569 0.3595
13 Mn 0.4574 0.4574 0.4574
14 Mn 0.4808 0.0014 0.0014
15 Mn 0.6316 0.0838 0.3591
16 Mn 0.6316 0.3591 0.0838
17 Mn 0.7105 0.2354 0.7105
18 Mn 0.7105 0.7105 0.2354
19 Mn 0.8569 0.3595 0.3595

**Space-group type**: R3m
**Total magnetic moment**: 4.28 μB per formula unit
**Final energy**: -8.659 eV/atom
**ΔE_f**: 0.03 eV/atom

Here is PrTm2Mn after structural relaxation from Alexandria via LeMat-Bulk. Energies are from PBE.

Cell lengths 11.5071, 11.5071, 11.5071 Å; angles 17.01, 17.01, 17.01 degrees
Fractional positions:
1 Pr 0.0000 0.0000 0.0000
2 Tm 0.4199 0.4199 0.4199
3 Tm 0.5801 0.5801 0.5801
4 Mn 0.5000 0.5000 0.5000

**Space-group type**: R-3m
**Total magnetic moment**: 3.05 μB per formula unit
**Final energy**: -5.191 eV/atom
**Offset from the most stable computed form**: 434 meV per atom
**ΔE_f**: 0.53 eV/atom

> Which of these has the lowest final energy?

PrTmMn17

Copy entry 1 word for word.
Here is PrTmMn after structural relaxation from Alexandria via LeMat-Bulk. Energies are from PBE.

Cell lengths 6.8826, 6.8826, 6.8826 Å; angles 150.19, 150.19, 42.67 degrees
Fractional positions:
1 Pr 0.0000 0.0000 0.0000
2 Tm 0.2763 0.2763 0.0000
3 Mn 0.6485 0.6485 0.0000

**Space-group type**: I4mm
**Total magnetic moment**: 2.94 μB per formula unit
**Final energy**: -5.945 eV/atom
**ΔE_f**: 0.20 eV/atom